! CsMgCd2Pt | Alexandria | PBE-GGA | relaxed; values from VASP
! VASP energy, eV/atom: -2.3300
! Size of the total moment, μB/f.u.: 0.0
! Formation enthalpy at 0 K, eV/atom: -0.27
! Volume, Å³ per cell: 153.2
&SYSTEM
  ibrav = 0, nat = 5, ntyp = 4
/
ATOMIC_SPECIES
Mg 24.30 Mg.upf
Pt 195.08 Pt.upf
Cs 132.91 Cs.upf
Cd 112.41 Cd.upf
ATOMIC_POSITIONS crystal
Mg 0.000 0.000 0.500
Pt 0.000 0.000 0.000
Cs 0.500 0.500 0.500
Cd 0.500 0.000 0.000
Cd 0.000 0.500 0.000
CELL_PARAMETERS angstrom
5.431 0.000 0.000
0.000 5.431 0.000
0.000 0.000 5.195